P) A geometry-optimized CrAsPb3 structure. Source: the Alexandria database, functional PBE. Values from VASP.

Calculated values
Magnetization   4.74 μB/f.u.
Crystal system   cubic
DOS at the Fermi energy   3.9 states/eV/cell

Geometry as Quantum ESPRESSO input:
```
&SYSTEM
  ibrav = 0, nat = 5, ntyp = 3
/
ATOMIC_SPECIES
Pb 207.20 Pb.upf
Cr 52.00 Cr.upf
As 74.92 As.upf
CELL_PARAMETERS angstrom
5.594 0.000 0.000
0.000 5.594 0.000
0.000 0.000 5.594
ATOMIC_POSITIONS angstrom
Pb 0.000 2.797 0.000
Pb 0.000 0.000 2.797
Pb 2.797 0.000 0.000
Cr 2.797 2.797 2.797
As 0.000 0.000 0.000
```

Q) A geometry-optimized CrAsPb3 structure. Source: the Alexandria database, functional PBE. Values from VASP.

Calculated values
Magnetization   2.97 μB/f.u.
Crystal system   cubic
DOS at the Fermi energy   2.5 states/eV/cell

Geometry as Quantum ESPRESSO input:
```
&SYSTEM
  ibrav = 0, nat = 5, ntyp = 3
/
ATOMIC_SPECIES
Pb 207.20 Pb.upf
Cr 52.00 Cr.upf
As 74.92 As.upf
CELL_PARAMETERS angstrom
-1.872 3.658 3.227
-1.939 -3.730 3.103
4.476 -0.085 2.694
ATOMIC_POSITIONS angstrom
Pb -0.969 -1.865 1.552
Pb 2.238 -0.043 1.347
Pb -0.936 1.829 1.613
Cr 0.000 0.000 0.000
As 0.332 -0.078 4.512
```

What are the relative energies? In eV/atom: P) 0.314; Q) 0.000.

P) A geometry-optimized CrAs2PbSe structure. Source: the Alexandria database, functional PBE. Values from VASP.

Calculated values
Magnetization   1.35 μB/f.u.
Crystal system   tetragonal
DOS at the Fermi energy   2.7 states/eV/cell

Geometry as Quantum ESPRESSO input:
```
&SYSTEM
  ibrav = 0, nat = 5, ntyp = 4
/
ATOMIC_SPECIES
Pb 207.20 Pb.upf
Cr 52.00 Cr.upf
As 74.92 As.upf
Se 78.96 Se.upf
CELL_PARAMETERS angstrom
4.609 0.000 0.000
0.000 4.609 0.000
0.000 0.000 5.562
ATOMIC_POSITIONS angstrom
Pb 2.305 2.305 2.781
Cr 0.000 0.000 0.000
As 0.000 2.305 0.000
As 2.305 0.000 0.000
Se 0.000 0.000 2.781
```

Q) A geometry-optimized CrAs2PbSe structure. Source: the Alexandria database, functional PBE. Values from VASP.

Calculated values
Magnetization   3.85 μB/f.u.
Crystal system   tetragonal
DOS at the Fermi energy   3.2 states/eV/cell

Geometry as Quantum ESPRESSO input:
```
&SYSTEM
  ibrav = 0, nat = 5, ntyp = 4
/
ATOMIC_SPECIES
Pb 207.20 Pb.upf
Cr 52.00 Cr.upf
As 74.92 As.upf
Se 78.96 Se.upf
CELL_PARAMETERS angstrom
5.267 0.000 0.000
0.000 5.267 0.000
0.000 0.000 4.647
ATOMIC_POSITIONS angstrom
Pb 2.634 2.634 2.324
Cr 0.000 0.000 2.324
As 0.000 2.634 0.000
As 2.634 0.000 0.000
Se 0.000 0.000 0.000
```

What are the relative energies? In eV/atom: P) 0.000; Q) 0.413.

P) A geometry-optimized Cr3AsPd structure. Source: the Alexandria database, functional PBE. Values from VASP.

Calculated values
Magnetization   12.58 μB/f.u.
Crystal system   cubic
DOS at the Fermi energy   5.1 states/eV/cell

Geometry as Quantum ESPRESSO input:
```
&SYSTEM
  ibrav = 0, nat = 5, ntyp = 3
/
ATOMIC_SPECIES
Cr 52.00 Cr.upf
As 74.92 As.upf
Pd 106.42 Pd.upf
CELL_PARAMETERS angstrom
-1.977 -2.698 -3.479
3.645 1.135 -2.952
2.469 -3.837 1.573
ATOMIC_POSITIONS angstrom
Cr 1.822 0.568 -1.476
Cr 1.235 -1.918 0.786
Cr -0.989 -1.349 -1.739
As 2.068 -2.700 -2.429
Pd 0.000 0.000 0.000
```

Q) A geometry-optimized Cr3AsPd structure. Source: the Alexandria database, functional PBE. Values from VASP.

Calculated values
Magnetization   12.57 μB/f.u.
Crystal system   cubic
DOS at the Fermi energy   8.7 states/eV/cell

Geometry as Quantum ESPRESSO input:
```
&SYSTEM
  ibrav = 0, nat = 5, ntyp = 3
/
ATOMIC_SPECIES
Cr 52.00 Cr.upf
As 74.92 As.upf
Pd 106.42 Pd.upf
CELL_PARAMETERS angstrom
-2.503 0.726 3.927
-0.147 -4.648 0.766
3.991 0.284 2.491
ATOMIC_POSITIONS angstrom
Cr -0.073 -2.324 0.383
Cr 1.995 0.142 1.245
Cr -1.251 0.363 1.964
As 0.000 0.000 0.000
Pd 0.671 -1.819 3.592
```

What are the relative energies? In eV/atom: P) 0.339; Q) 0.000.

P) A geometry-optimized RbCr2AsPd structure. Source: the Alexandria database, functional PBE. Values from VASP.

Calculated values
Magnetization   9.75 μB/f.u.
Crystal system   tetragonal
DOS at the Fermi energy   2.2 states/eV/cell

Geometry as Quantum ESPRESSO input:
```
&SYSTEM
  ibrav = 0, nat = 5, ntyp = 4
/
ATOMIC_SPECIES
Cr 52.00 Cr.upf
As 74.92 As.upf
Rb 85.47 Rb.upf
Pd 106.42 Pd.upf
CELL_PARAMETERS angstrom
-1.190 -2.622 4.570
1.428 -4.277 -2.082
5.035 0.815 1.779
ATOMIC_POSITIONS angstrom
Cr 2.517 0.408 0.889
Cr -0.595 -1.311 2.285
As 2.636 -3.042 2.133
Rb 0.000 0.000 0.000
Pd 0.714 -2.139 -1.041
```

Q) A geometry-optimized RbCr2AsPd structure. Source: the Alexandria database, functional PBE. Values from VASP.

Calculated values
Magnetization   7.98 μB/f.u.
Crystal system   tetragonal
DOS at the Fermi energy   5.1 states/eV/cell

Geometry as Quantum ESPRESSO input:
```
&SYSTEM
  ibrav = 0, nat = 5, ntyp = 4
/
ATOMIC_SPECIES
Cr 52.00 Cr.upf
As 74.92 As.upf
Rb 85.47 Rb.upf
Pd 106.42 Pd.upf
CELL_PARAMETERS angstrom
-2.899 -0.089 -4.097
-3.803 -3.373 2.764
-2.431 4.078 1.632
ATOMIC_POSITIONS angstrom
Cr -1.215 2.039 0.816
Cr -1.450 -0.044 -2.048
As -4.566 0.308 0.150
Rb -1.902 -1.687 1.382
Pd 0.000 0.000 0.000
```

What are the relative energies? In eV/atom: P) 0.933; Q) 0.000.

P) A geometry-optimized CrAs2PtSe structure. Source: the Alexandria database, functional PBE. Values from VASP.

Calculated values
Magnetization   0.00 μB/f.u.
Crystal system   tetragonal
DOS at the Fermi energy   3.1 states/eV/cell

Geometry as Quantum ESPRESSO input:
```
&SYSTEM
  ibrav = 0, nat = 5, ntyp = 4
/
ATOMIC_SPECIES
Cr 52.00 Cr.upf
As 74.92 As.upf
Se 78.96 Se.upf
Pt 195.08 Pt.upf
CELL_PARAMETERS angstrom
-2.760 3.231 -1.814
-3.595 -1.787 2.286
0.882 2.732 3.523
ATOMIC_POSITIONS angstrom
Cr 0.000 0.000 0.000
As -1.797 -0.894 1.143
As -1.380 1.615 -0.907
Se 0.441 1.366 1.762
Pt -2.736 2.088 1.998
```

Q) A geometry-optimized CrAs2PtSe structure. Source: the Alexandria database, functional PBE. Values from VASP.

Calculated values
Magnetization   0.84 μB/f.u.
Crystal system   tetragonal
DOS at the Fermi energy   5.3 states/eV/cell

Geometry as Quantum ESPRESSO input:
```
&SYSTEM
  ibrav = 0, nat = 5, ntyp = 4
/
ATOMIC_SPECIES
Cr 52.00 Cr.upf
As 74.92 As.upf
Se 78.96 Se.upf
Pt 195.08 Pt.upf
CELL_PARAMETERS angstrom
-3.815 2.320 0.596
-2.605 -4.200 -0.326
0.353 -0.565 4.455
ATOMIC_POSITIONS angstrom
Cr 0.000 0.000 0.000
As 0.176 -0.282 2.228
As -1.908 1.160 0.298
Se -3.034 -1.223 2.363
Pt -1.302 -2.100 -0.163
```

What are the relative energies? In eV/atom: P) 0.000; Q) 0.057.

P) A geometry-optimized RbCr3As structure. Source: the Alexandria database, functional PBE. Values from VASP.

Calculated values
Magnetization   15.31 μB/f.u.
Crystal system   cubic
DOS at the Fermi energy   3.4 states/eV/cell

Geometry as Quantum ESPRESSO input:
```
&SYSTEM
  ibrav = 0, nat = 5, ntyp = 3
/
ATOMIC_SPECIES
Cr 52.00 Cr.upf
As 74.92 As.upf
Rb 85.47 Rb.upf
CELL_PARAMETERS angstrom
5.449 0.000 0.000
0.000 5.449 0.000
0.000 0.000 5.449
ATOMIC_POSITIONS angstrom
Cr 0.000 2.725 0.000
Cr 0.000 0.000 2.725
Cr 2.725 0.000 0.000
As 2.725 2.725 2.725
Rb 0.000 0.000 0.000
```

Q) A geometry-optimized RbCr3As structure. Source: the Alexandria database, functional PBE. Values from VASP.

Calculated values
Magnetization   14.07 μB/f.u.
Crystal system   cubic
DOS at the Fermi energy   0.9 states/eV/cell

Geometry as Quantum ESPRESSO input:
```
&SYSTEM
  ibrav = 0, nat = 5, ntyp = 3
/
ATOMIC_SPECIES
Cr 52.00 Cr.upf
As 74.92 As.upf
Rb 85.47 Rb.upf
CELL_PARAMETERS angstrom
5.146 0.000 0.000
0.000 5.146 0.000
0.000 0.000 5.146
ATOMIC_POSITIONS angstrom
Cr 0.000 2.573 0.000
Cr 0.000 0.000 2.573
Cr 2.573 0.000 0.000
As 0.000 0.000 0.000
Rb 2.573 2.573 2.573
```

What are the relative energies? In eV/atom: P) 1.577; Q) 0.000.